DFT (GGA+U) results for an optimized crystal structure of ScMnIO6.

extended XYZ file:
```
18
Lattice="5.3107 0.0000 0.0000 -2.6554 4.5992 0.0000 0.0000 0.0000 9.2562" Properties=species:S:1:pos:R:3 pbc="T T T"
Sc 0.0000 3.0661 2.3140
Sc 2.6554 1.5331 6.9421
Mn 0.0000 0.0000 0.0000
Mn 0.0000 0.0000 4.6281
I 0.0000 3.0661 6.9421
I 2.6554 1.5331 2.3140
O -0.8291 1.7139 5.8790
O -1.5856 3.0243 8.0052
O 0.8291 1.7139 8.0052
O -0.7566 4.4603 5.8790
O 1.8988 0.1390 1.2509
O 1.0697 1.5749 3.3771
O 1.5856 3.0243 5.8790
O 0.7566 4.4603 8.0052
O 3.4119 0.1390 3.3771
O 1.8263 2.8854 1.2509
O 4.2410 1.5749 1.2509
O 3.4844 2.8854 3.3771
```

Computed properties:
- SG: No. 163
- Raw total energy: -6.513 eV per atom
- DOS at the Fermi energy: 0.00 states/eV per cell
- ρ: 4.7 g cm⁻³